No. 1
PBE TbTm3Co2, relaxed; energy of formation = -10.4 kJ/mol of atoms; theoretical density = 8.772 Mg/m³; electronic total energy = -5.484 eV per atom; crystal system = monoclinic
1.0
7.910 -1.979 0.000
7.910 1.979 0.000
-5.853 0.000 9.474
Tb Tm Co
2 6 4
Direct
0.061 0.061 0.194 Tb
0.939 0.939 0.806 Tb
0.194 0.194 0.567 Tm
0.313 0.313 0.944 Tm
0.434 0.434 0.313 Tm
0.566 0.566 0.687 Tm
0.687 0.687 0.056 Tm
0.806 0.806 0.433 Tm
0.127 0.127 0.871 Co
0.377 0.377 0.616 Co
0.623 0.623 0.384 Co
0.873 0.873 0.129 Co

---

No. 2
PBE TbTm4Co, relaxed; energy of formation = -1.2 kJ/mol of atoms; theoretical density = 8.565 Mg/m³; electronic total energy = -4.949 eV per atom; crystal system = orthorhombic
1.0
2.697 -8.875 0.000
2.697 8.875 0.000
0.000 0.000 7.238
Tb Tm Co
2 8 2
Direct
0.114 0.886 0.750 Tb
0.886 0.114 0.250 Tb
0.115 0.885 0.250 Tm
0.301 0.699 0.502 Tm
0.301 0.699 0.998 Tm
0.500 0.500 0.000 Tm
0.500 0.500 0.500 Tm
0.699 0.301 0.002 Tm
0.699 0.301 0.498 Tm
0.885 0.115 0.750 Tm
0.402 0.598 0.750 Co
0.598 0.402 0.250 Co

---

No. 3
PBE TbTmCo2, relaxed; energy of formation = -16.2 kJ/mol of atoms; theoretical density = 10.095 Mg/m³; electronic total energy = -5.997 eV per atom; crystal system = tetragonal
1.0
4.692 0.000 0.000
0.000 4.692 0.000
0.000 0.000 3.331
Tb Tm Co
1 1 2
Direct
0.000 0.000 0.000 Tb
0.500 0.500 0.000 Tm
0.000 0.500 0.500 Co
0.500 0.000 0.500 Co

---

No. 4
PBE Tb2Tm3Co2, relaxed; energy of formation = -18.0 kJ/mol of atoms; theoretical density = 9.228 Mg/m³; electronic total energy = -5.456 eV per atom; crystal system = monoclinic
1.0
5.953 -1.806 0.000
5.953 1.806 0.000
-3.909 0.000 7.888
Tb Tm Co
2 3 2
Direct
0.171 0.171 0.303 Tb
0.829 0.829 0.697 Tb
0.381 0.381 0.073 Tm
0.500 0.500 0.500 Tm
0.619 0.619 0.927 Tm
0.177 0.177 0.741 Co
0.823 0.823 0.259 Co

---

No. 5
PBE TbTmCo2, relaxed; energy of formation = -21.4 kJ/mol of atoms; theoretical density = 9.391 Mg/m³; electronic total energy = -6.050 eV per atom; crystal system = orthorhombic
1.0
3.848 0.000 0.000
0.000 5.503 0.000
0.000 0.000 7.444
Tb Tm Co
2 2 4
Direct
0.000 0.134 0.000 Tb
0.000 0.866 0.500 Tb
0.500 0.367 0.644 Tm
0.500 0.633 0.144 Tm
0.000 0.356 0.352 Co
0.000 0.644 0.852 Co
0.500 0.155 0.296 Co
0.500 0.845 0.796 Co

---

No. 6
PBE Tb12TmCo6, relaxed; energy of formation = -12.0 kJ/mol of atoms; theoretical density = 8.591 Mg/m³; electronic total energy = -5.528 eV per atom; crystal system = cubic
1.0
-4.897 4.897 4.897
4.897 -4.897 4.897
4.897 4.897 -4.897
Tb Tm Co
12 1 6
Direct
0.114 0.806 0.309 Tb
0.194 0.309 0.503 Tb
0.194 0.691 0.886 Tb
0.309 0.114 0.806 Tb
0.309 0.503 0.194 Tb
0.497 0.806 0.691 Tb
0.503 0.194 0.309 Tb
0.691 0.497 0.806 Tb
0.691 0.886 0.194 Tb
0.806 0.309 0.114 Tb
0.806 0.691 0.497 Tb
0.886 0.194 0.691 Tb
0.000 0.000 0.000 Tm
0.113 0.613 0.500 Co
0.387 0.500 0.887 Co
0.500 0.113 0.613 Co
0.500 0.887 0.387 Co
0.613 0.500 0.113 Co
0.887 0.387 0.500 Co